! PBE PmPr10Y4, relaxed; values from VASP
&SYSTEM
  ibrav = 0, nat = 15, ntyp = 3
/
ATOMIC_SPECIES
Pm 145.00 Pm.upf
Pr 140.91 Pr.upf
Y 88.91 Y.upf
ATOMIC_POSITIONS crystal
Pm 0.000 0.000 0.000
Pr 0.250 0.500 0.500
Pr 0.650 0.300 0.899
Pr 0.050 0.101 0.300
Pr 0.451 0.899 0.700
Pr 0.849 0.700 0.101
Pr 0.350 0.700 0.101
Pr 0.750 0.500 0.500
Pr 0.151 0.300 0.899
Pr 0.549 0.101 0.300
Pr 0.950 0.899 0.700
Y 0.399 0.801 0.400
Y 0.800 0.600 0.801
Y 0.200 0.400 0.199
Y 0.601 0.199 0.600
CELL_PARAMETERS angstrom
0.028 0.822 7.869
-8.713 -1.053 4.119
1.490 -8.269 4.836
! - E_form: 703 meV/atom
! - Volume: 619.8 Å³/cell
! - Magnetization: 0.000 μB/f.u.